# 1
Ti3MnTc (PBE-GGA, optimized geometry); symmetry = Pm-3m (221)
1.0
4.390 0.000 0.000
0.000 4.390 0.000
0.000 0.000 4.390
Ti Mn Tc
3 1 1
direct
0.000 0.000 0.500
0.000 0.500 0.000
0.500 0.000 0.000
0.000 0.000 0.000
0.500 0.500 0.500

---

# 2
Ti5MnTc4 (PBE-GGA, optimized geometry); symmetry = P4/mmm (123)
1.0
3.086 0.000 0.000
0.000 3.086 0.000
0.000 0.000 15.391
Ti Mn Tc
5 1 4
direct
0.000 0.000 0.000
0.000 0.000 0.203
0.000 0.000 0.404
0.000 0.000 0.596
0.000 0.000 0.797
0.500 0.500 0.500
0.500 0.500 0.101
0.500 0.500 0.304
0.500 0.500 0.696
0.500 0.500 0.899

---

# 3
Ti2MnTc2 (PBE-GGA, optimized geometry); symmetry = P4/mbm (127)
1.0
6.126 0.000 0.000
0.000 6.126 0.000
0.000 0.000 4.158
Ti Mn Tc
4 2 4
direct
0.177 0.323 0.000
0.323 0.823 0.000
0.677 0.177 0.000
0.823 0.677 0.000
0.000 0.000 0.500
0.500 0.500 0.500
0.150 0.650 0.500
0.350 0.150 0.500
0.650 0.850 0.500
0.850 0.350 0.500

---

# 4
Ti6MnTc5 (PBE-GGA, optimized geometry); symmetry = Immm (71)
1.0
-2.189 3.099 6.583
2.189 -3.099 6.583
2.189 3.099 -6.583
Ti Mn Tc
6 1 5
direct
0.079 0.332 0.747
0.245 0.000 0.245
0.416 0.668 0.747
0.584 0.332 0.253
0.755 0.000 0.755
0.921 0.668 0.253
0.500 0.500 0.000
0.000 0.500 0.500
0.168 0.168 0.000
0.338 0.838 0.500
0.662 0.162 0.500
0.832 0.832 0.000

---

# 5
Ti2Mn2Tc (PBE-GGA, optimized geometry); symmetry = P4/mbm (127)
1.0
6.627 0.000 0.000
0.000 6.627 0.000
0.000 0.000 3.193
Ti Mn Tc
4 4 2
direct
0.196 0.304 0.000
0.304 0.804 0.000
0.696 0.196 0.000
0.804 0.696 0.000
0.108 0.608 0.500
0.392 0.108 0.500
0.608 0.892 0.500
0.892 0.392 0.500
0.000 0.000 0.500
0.500 0.500 0.500

---

# 6
Ti3MnTc3 (PBE-GGA, optimized geometry); symmetry = Cmmm (65)
1.0
4.040 -4.484 0.000
4.040 4.484 0.000
0.000 0.000 6.153
Ti Mn Tc
6 2 6
direct
0.000 0.000 0.249
0.000 0.000 0.751
0.000 0.500 0.246
0.000 0.500 0.754
0.500 0.000 0.246
0.500 0.000 0.754
0.313 0.313 0.500
0.687 0.687 0.500
0.239 0.761 0.000
0.245 0.755 0.500
0.303 0.303 0.000
0.697 0.697 0.000
0.755 0.245 0.500
0.761 0.239 0.000

---

# 7
TiMnTl2Tc (PBE-GGA, optimized geometry); symmetry = P4/mmm (123)
1.0
5.013 0.000 0.000
0.000 5.013 0.000
0.000 0.000 4.348
Ti Mn Tl Tc
1 1 2 1
direct
0.000 0.000 0.000
0.500 0.500 0.500
0.000 0.500 0.500
0.500 0.000 0.500
0.500 0.500 0.000

---

# 8
Zr2TiMnTc (PBE-GGA, optimized geometry); symmetry = P4/mmm (123)
1.0
4.984 0.000 0.000
0.000 4.984 0.000
0.000 0.000 4.547
Zr Ti Mn Tc
2 1 1 1
direct
0.000 0.500 0.000
0.500 0.000 0.000
0.000 0.000 0.500
0.500 0.500 0.500
0.000 0.000 0.000

---

Short version: formation energy from the elements = 544; -433; 34; -445; 40; 42; 1067; 1031 meV/atom, in the order given.